1.
First-principles (PBE) data for an optimized crystal structure of ScMnGe3, as listed in Alexandria.

Results
E_tot in eV per atom: -5.767
ΔE_f in eV/atom: 0.1034
Space group: No. 221

abc: 4.596 4.596 4.596
angles: 90.00 90.00 90.00
Last column: magnetic moment on the atom in μB.
Positions (direct):
Ge: 0.000 0.000 0.500  -0.02
Ge: 0.000 0.500 0.000  -0.03
Ge: 0.500 0.000 0.000  -0.07
Sc: 0.500 0.500 0.500  0.02
Mn: 0.000 0.000 0.000  1.45

---

2.
First-principles (PBE) data for an optimized crystal structure of ScMnGe, as listed in Alexandria.

Results
E_tot in eV per atom: -7.270
ΔE_f in eV/atom: -0.5636
Space group: No. 189

abc: 3.922 6.597 6.597
angles: 120.00 90.00 90.00
Last column: magnetic moment on the atom in μB.
Positions (direct):
Ge: 0.000 0.000 0.000  -0.10
Ge: 0.500 0.667 0.333  -0.04
Ge: 0.500 0.333 0.667  -0.04
Mn: 0.500 0.230 0.000  2.41
Mn: 0.500 0.770 0.770  2.46
Mn: 0.500 0.000 0.230  2.30
Sc: 0.000 0.417 0.417  -0.12
Sc: 0.000 0.000 0.583  -0.18
Sc: 0.000 0.583 0.000  -0.14

---

3.
First-principles (PBE) data for an optimized crystal structure of Sc3Mn2Ge3, as listed in Alexandria.

Results
E_tot in eV per atom: -6.946
ΔE_f in eV/atom: -0.5477
Space group: No. 193

abc: 5.259 7.693 7.693
angles: 120.00 90.00 90.00
Last column: magnetic moment on the atom in μB.
Positions (direct):
Ge: 0.250 0.402 0.000  -0.09
Ge: 0.750 0.000 0.598  -0.09
Ge: 0.750 0.598 0.000  -0.09
Ge: 0.250 0.598 0.598  -0.09
Ge: 0.750 0.402 0.402  -0.09
Ge: 0.250 0.000 0.402  -0.09
Mn: 0.500 0.667 0.333  2.56
Mn: 0.000 0.667 0.333  2.56
Mn: 0.500 0.333 0.667  2.56
Mn: 0.000 0.333 0.667  2.56
Sc: 0.750 0.246 0.000  -0.12
Sc: 0.250 0.000 0.754  -0.12
Sc: 0.750 0.754 0.754  -0.12
Sc: 0.750 0.000 0.246  -0.12
Sc: 0.250 0.246 0.246  -0.12
Sc: 0.250 0.754 0.000  -0.12

---

4.
First-principles (PBE) data for an optimized crystal structure of ScMnGe3, as listed in Alexandria.

Results
E_tot in eV per atom: -5.110
ΔE_f in eV/atom: 0.7607
Space group: No. 221

abc: 5.069 5.069 5.069
angles: 90.00 90.00 90.00
Last column: magnetic moment on the atom in μB.
Positions (direct):
Ge: 0.000 0.000 0.500  0.00
Ge: 0.000 0.500 0.000  0.00
Ge: 0.500 0.000 0.000  0.00
Mn: 0.500 0.500 0.500  4.40
Sc: 0.000 0.000 0.000  0.04

---

5.
First-principles (PBE) data for an optimized crystal structure of Sc2Mn2Ge, as listed in Alexandria.

Results
E_tot in eV per atom: -7.342
ΔE_f in eV/atom: -0.2178
Space group: No. 127

abc: 6.289 6.289 4.141
angles: 90.00 90.00 90.00
Last column: magnetic moment on the atom in μB.
Positions (direct):
Sc: 0.322 0.178 0.500  -0.09
Sc: 0.178 0.678 0.500  -0.10
Sc: 0.678 0.822 0.500  -0.09
Sc: 0.822 0.322 0.500  -0.10
Mn: 0.618 0.118 0.000  1.01
Mn: 0.882 0.618 0.000  0.98
Mn: 0.382 0.882 0.000  1.01
Mn: 0.118 0.382 0.000  0.98
Ge: 0.000 0.000 0.000  -0.04
Ge: 0.500 0.500 0.000  -0.04

---

6.
First-principles (PBE) data for an optimized crystal structure of ScMn3Ge3, as listed in Alexandria.

Results
E_tot in eV per atom: -6.334
ΔE_f in eV/atom: 0.4793
Space group: No. 223

abc: 6.631 6.631 6.631
angles: 90.00 90.00 90.00
Last column: magnetic moment on the atom in μB.
Positions (direct):
Mn: 0.000 0.500 0.750  2.84
Mn: 0.000 0.500 0.250  2.84
Mn: 0.750 0.000 0.500  2.84
Mn: 0.250 0.000 0.500  2.84
Mn: 0.500 0.750 0.000  2.84
Mn: 0.500 0.250 0.000  2.84
Ge: 0.500 0.000 0.750  -0.15
Ge: 0.000 0.250 0.500  -0.15
Ge: 0.500 0.000 0.250  -0.15
Ge: 0.750 0.500 0.000  -0.15
Ge: 0.000 0.750 0.500  -0.15
Ge: 0.250 0.500 0.000  -0.15
Sc: 0.000 0.000 0.000  0.15
Sc: 0.500 0.500 0.500  0.15

---

7.
First-principles (PBE) data for an optimized crystal structure of Sc3MnGe, as listed in Alexandria.

Results
E_tot in eV per atom: -5.878
ΔE_f in eV/atom: 0.6785
Space group: No. 221
Excess energy over the best structure of this formula in the dataset in eV/atom: 0.533

abc: 4.999 4.999 4.999
angles: 90.00 90.00 90.00
Last column: magnetic moment on the atom in μB.
Positions (direct):
Ge: 0.000 0.000 0.000  0.04
Mn: 0.500 0.500 0.500  -0.13
Sc: 0.500 0.000 0.000  0.10
Sc: 0.000 0.000 0.500  -0.09
Sc: 0.000 0.500 0.000  0.01

---

8.
First-principles (PBE) data for an optimized crystal structure of ScMn2Ge3, as listed in Alexandria.

Results
E_tot in eV per atom: -6.692
ΔE_f in eV/atom: -0.2711
Space group: No. 63

abc: 4.084 6.129 8.032
angles: 90.00 90.00 109.46
Last column: magnetic moment on the atom in μB.
Positions (direct):
Mn: 0.000 0.000 0.500  2.59
Mn: 0.000 0.000 0.000  2.59
Mn: 0.465 0.931 0.250  -0.48
Mn: 0.535 0.069 0.750  -0.48
Sc: 0.196 0.391 0.250  -0.03
Sc: 0.804 0.609 0.750  -0.03
Ge: 0.863 0.726 0.250  -0.01
Ge: 0.624 0.248 0.465  -0.01
Ge: 0.137 0.274 0.750  -0.01
Ge: 0.376 0.752 0.535  -0.01
Ge: 0.624 0.248 0.035  -0.01
Ge: 0.376 0.752 0.965  -0.01